1.
A geometry-optimized KBi2Au3 structure. Source: Alexandria via LeMat-Bulk, functional PBE.

Properties
For the formation energy, the calculation gives -0.174 eV per atom.

The structure in POSCAR format:
```
KBi2Au3
1.0
7.380 0.000 0.000
0.000 6.825 -2.172
0.000 -0.032 7.162
K Bi Au
2 4 6
direct
0.750 0.345 0.345
0.250 0.655 0.655
0.000 0.814 0.186
0.500 0.186 0.814
0.000 0.186 0.814
0.500 0.814 0.186
0.750 0.895 0.895
0.250 0.105 0.105
0.750 0.888 0.507
0.250 0.112 0.493
0.750 0.507 0.888
0.250 0.493 0.112
```



2.
A geometry-optimized K4Bi5Au2 structure. Source: Alexandria via LeMat-Bulk, functional PBE.

Properties
For the formation energy, the calculation gives -0.255 eV per atom.

The structure in POSCAR format:
```
K4Bi5Au2
1.0
-1.187 -5.254 2.281
6.831 -0.625 2.115
-1.407 4.103 8.719
K Bi Au
4 5 2
direct
0.500 0.236 0.645
0.500 0.291 0.144
0.500 0.764 0.355
0.500 0.709 0.856
0.000 0.735 0.079
0.000 0.425 0.352
0.000 0.000 0.500
0.000 0.575 0.648
0.000 0.265 0.921
0.000 0.929 0.795
0.000 0.071 0.205
```



3.
A geometry-optimized K3Bi5Au2 structure. Source: Alexandria via LeMat-Bulk, functional PBE.

Properties
For the formation energy, the calculation gives -0.211 eV per atom.

The structure in POSCAR format:
```
K3Bi5Au2
1.0
-7.086 0.722 -2.220
-2.460 -7.843 -7.233
-6.041 -8.164 4.092
K Bi Au
6 10 4
direct
0.250 0.000 0.000
0.750 0.000 0.000
0.351 0.426 0.873
0.649 0.574 0.127
0.851 0.873 0.426
0.149 0.127 0.574
0.250 0.500 0.500
0.750 0.500 0.500
0.467 0.783 0.783
0.033 0.217 0.217
0.533 0.217 0.217
0.967 0.783 0.783
0.134 0.478 0.254
0.866 0.522 0.746
0.634 0.254 0.478
0.366 0.746 0.522
0.146 0.699 0.009
0.854 0.301 0.991
0.646 0.009 0.699
0.354 0.991 0.301
```



4.
A geometry-optimized K2BiAu2 structure. Source: Alexandria via LeMat-Bulk, functional PBE.

Properties
The energy above the most stable polymorph in this dataset is 0 kJ/mol of formula units. For the formation energy, the calculation gives -0.354 eV per atom.

The structure in POSCAR format:
```
K2BiAu2
1.0
4.303 0.000 1.929
1.125 5.647 3.253
-0.368 0.499 6.584
K Bi Au
2 1 2
direct
0.793 0.707 0.707
0.207 0.293 0.293
0.000 0.000 0.000
0.500 0.718 0.282
0.500 0.282 0.718
```



5.
A geometry-optimized K12Bi3Au5 structure. Source: Alexandria via LeMat-Bulk, functional PBE.

Properties
For the formation energy, the calculation gives -0.217 eV per atom.

The structure in POSCAR format:
```
K12Bi3Au5
1.0
17.377 0.000 0.000
-5.792 16.383 0.000
-5.792 -8.191 14.188
Bi Au K
12 20 48
direct
0.750 0.375 0.125
0.875 0.750 0.125
0.375 0.750 0.625
0.250 0.125 0.375
0.875 0.125 0.250
0.375 0.625 0.250
0.625 0.375 0.750
0.125 0.875 0.750
0.750 0.875 0.625
0.625 0.250 0.375
0.125 0.250 0.875
0.250 0.625 0.875
0.125 0.375 0.250
0.000 0.500 0.000
0.000 0.000 0.000
0.375 0.250 0.125
0.500 0.000 0.500
0.500 0.500 0.000
0.125 0.750 0.375
0.750 0.125 0.875
0.750 0.625 0.375
0.375 0.125 0.750
0.625 0.875 0.250
0.500 0.500 0.500
0.500 0.000 0.000
0.000 0.000 0.500
0.250 0.375 0.625
0.250 0.875 0.125
0.000 0.500 0.500
0.875 0.250 0.625
0.625 0.750 0.875
0.875 0.625 0.750
0.722 0.134 0.049
0.327 0.549 0.415
0.951 0.366 0.278
0.549 0.222 0.134
0.588 0.722 0.673
0.951 0.585 0.173
0.327 0.778 0.412
0.085 0.912 0.134
0.585 0.951 0.673
0.722 0.588 0.173
0.778 0.451 0.366
0.827 0.915 0.049
0.134 0.722 0.549
0.366 0.415 0.088
0.088 0.915 0.366
0.412 0.134 0.585
0.088 0.173 0.222
0.451 0.673 0.085
0.827 0.912 0.278
0.134 0.412 0.085
0.366 0.951 0.778
0.585 0.634 0.412
0.915 0.827 0.549
0.778 0.327 0.912
0.415 0.366 0.588
0.085 0.173 0.451
0.222 0.673 0.088
0.173 0.088 0.722
0.634 0.049 0.222
0.866 0.588 0.915
0.549 0.327 0.915
0.588 0.866 0.415
0.912 0.827 0.778
0.912 0.085 0.634
0.866 0.278 0.451
0.173 0.085 0.951
0.634 0.585 0.912
0.415 0.049 0.327
0.278 0.412 0.827
0.222 0.549 0.634
0.915 0.088 0.866
0.673 0.222 0.588
0.451 0.778 0.866
0.049 0.415 0.827
0.412 0.278 0.327
0.049 0.634 0.722
0.673 0.451 0.585
0.278 0.866 0.951
```



6.
A geometry-optimized KBi3Au2 structure. Source: Alexandria via LeMat-Bulk, functional PBE.

Properties
The energy above the most stable polymorph in this dataset is 17 kJ/mol of formula units. For the formation energy, the calculation gives -0.130 eV per atom.

The structure in POSCAR format:
```
KBi3Au2
1.0
4.627 0.000 0.000
-2.314 8.608 0.754
0.000 -3.234 9.191
K Bi Au
2 6 4
direct
0.866 0.732 0.945
0.134 0.268 0.055
0.334 0.668 0.607
0.996 0.993 0.673
0.653 0.305 0.754
0.347 0.695 0.246
0.004 0.007 0.327
0.666 0.332 0.393
0.497 0.993 0.858
0.503 0.007 0.142
0.844 0.688 0.425
0.156 0.312 0.575
```